# meta-GGA SCAN BeReRu2, single point on PBEsol structure
data_BeReRu2
_symmetry_space_group_name_H-M 'P 1'
_symmetry_Int_Tables_number 1
_symmetry_space_group_name_Hall 'P 1'
_cell_length_a 2.802
_cell_length_b 2.802
_cell_length_c 6.226
_cell_angle_alpha 90.00
_cell_angle_beta 90.00
_cell_angle_gamma 90.00
loop_
_atom_site_label
_atom_site_fract_x
_atom_site_fract_y
_atom_site_fract_z
Re1 0.500 0.500 0.500
Be1 0.500 0.500 0.000
Ru1 0.000 0.000 0.781
Ru2 0.000 0.000 0.219
# Excess energy over the best structure of this formula in the dataset: 0.00 eV/f.u.
# Volume: 49 Å³ per cell
# Magnetization: 0.000 μB/f.u.
# ΔE_f: -0.23 eV/atom
# Total energy: -146.0 eV for the cell shown
# Mass density: 13.5 g/cm3
# D(E_F): 2.34 states/eV/cell